Computed, not measured: crystalline PmErCO at its relaxed geometry at the PBE level of DFT.

Calculated values
The value obtained for the uncorrected formation energy is -1.1833 eV/atom.

Cell: 6.461 6.461 6.461 Å, 151.62 150.10 41.69°
Fractional coordinates of all 4 atoms:
Pm1 0.000 0.000 0.000
Er1 0.752 0.252 0.500
C1 0.341 0.841 0.500
O1 0.596 0.596 0.000

=====

Computed, not measured: crystalline PrErCO at its relaxed geometry at the PBE level of DFT.

Calculated values
The value obtained for the uncorrected formation energy is -1.1332 eV/atom.

Cell: 6.516 6.516 6.516 Å, 151.64 149.96 41.79°
Fractional coordinates of all 4 atoms:
Pr1 0.000 0.000 0.000
Er1 0.751 0.251 0.500
C1 0.338 0.838 0.500
O1 0.598 0.598 0.000

=====

Computed, not measured: crystalline Rb2ErC2O6 at its relaxed geometry at the PBE level of DFT.

Calculated values
The value obtained for the uncorrected formation energy is -1.9265 eV/atom.

Cell: 5.438 5.438 8.708 Å, 90.00 90.00 120.00°
Fractional coordinates of all 11 atoms:
Rb1 0.333 0.667 0.308
Rb2 0.667 0.333 0.692
Er1 0.000 0.000 0.000
C1 0.333 0.667 0.860
C2 0.667 0.333 0.140
O1 0.196 0.391 0.857
O2 0.196 0.804 0.857
O3 0.391 0.196 0.143
O4 0.609 0.804 0.857
O5 0.804 0.196 0.143
O6 0.804 0.609 0.143